Computed, not measured: an optimized crystal structure of ScPtF2 at the GGA-PBE level of DFT.

Cell: 4.4087 4.4087 13.1659 Å, 90.00 90.00 90.00°
With the nearest neighbours (Å) after each atom.
Atoms (fractional coordinates):
Sc  0.0000  0.0000  0.0000  4 F 2.04
Sc  0.0000  0.5000  0.2500  4 F 2.04
Sc  0.5000  0.0000  0.7500  4 F 2.04
Sc  0.5000  0.5000  0.5000  4 F 2.04
Pt  0.0000  0.0000  0.5000  4 F 2.62
Pt  0.0000  0.5000  0.7500  4 F 2.62
Pt  0.5000  0.0000  0.2500  4 F 2.62
Pt  0.5000  0.5000  0.0000  4 F 2.62
F  0.1121  0.2500  0.1250  2 Sc 2.04
F  0.2500  0.6121  0.3750  2 Sc 2.04
F  0.2500  0.8879  0.8750  2 Sc 2.04
F  0.3879  0.2500  0.6250  2 Sc 2.04
F  0.6121  0.7500  0.6250  2 Sc 2.04
F  0.7500  0.1121  0.8750  2 Sc 2.04
F  0.7500  0.3879  0.3750  2 Sc 2.04
F  0.8879  0.7500  0.1250  2 Sc 2.04

Properties
Energy relative to the lowest polymorph listed for this composition (eV/atom): 0.1733
Formation energy without anion corrections (eV/atom): -1.772

Computed, not measured: an optimized crystal structure of BaCr2Ru at the GGA-PBE level of DFT.

Cell: 4.4111 4.4111 4.3842 Å, 90.00 90.00 90.00°
With the nearest neighbours (Å) after each atom.
Atoms (fractional coordinates):
Ba  0.0000  0.0000  0.0000  8 Cr 3.11, 4 Ru 3.12
Cr  0.0000  0.5000  0.5000  4 Ba 3.11, 4 Ru 3.11, 4 Cr 3.12
Cr  0.5000  0.0000  0.5000  4 Ba 3.11, 4 Ru 3.11, 4 Cr 3.12
Ru  0.5000  0.5000  0.0000  8 Cr 3.11, 4 Ba 3.12

Properties
Energy relative to the lowest polymorph listed for this composition (eV/atom): 0.7171
Energy relative to the elements (eV/f.u.): 4.96

Computed, not measured: an optimized crystal structure of CeYP2Ir5 at the GGA-PBE level of DFT.

Cell: 4.0311 4.0311 11.0471 Å, 90.00 90.00 90.00°
With the nearest neighbours (Å) after each atom.
Atoms (fractional coordinates):
Ce  0.0000  0.0000  0.0000  4 Ir 2.85
Y  0.0000  0.0000  0.5000  8 Ir 2.97
P  0.5000  0.5000  0.2081  5 Ir 2.27-2.30
P  0.5000  0.5000  0.7919  5 Ir 2.27-2.30
Ir  0.0000  0.5000  0.3027  2 P 2.27
Ir  0.0000  0.5000  0.6973  2 P 2.27
Ir  0.5000  0.0000  0.3027  2 P 2.27
Ir  0.5000  0.0000  0.6973  2 P 2.27
Ir  0.5000  0.5000  0.0000  2 P 2.30

Properties
Energy relative to the elements (eV/f.u.): -5.78

Computed, not measured: an optimized crystal structure of NaY3Zr at the GGA-PBE level of DFT.

Cell: 5.6893 5.6893 5.6893 Å, 90.00 90.00 90.00°
With the nearest neighbours (Å) after each atom.
Atoms (fractional coordinates):
Na  0.0000  0.0000  0.0000  12 Y 4.02
Y  0.0000  0.5000  0.5000  2 Zr 2.84
Y  0.5000  0.0000  0.5000  2 Zr 2.84
Y  0.5000  0.5000  0.0000  2 Zr 2.84
Zr  0.5000  0.5000  0.5000  6 Y 2.84

Properties
Energy relative to the lowest polymorph listed for this composition (eV/atom): 0.0000
Energy relative to the elements (eV/f.u.): 2.93

Computed, not measured: an optimized crystal structure of Pr2PuTh at the GGA-PBE level of DFT.

Cell: 3.5973 3.5973 35.6011 Å, 90.00 90.00 120.00°
With the nearest neighbours (Å) after each atom.
Atoms (fractional coordinates):
Pr  0.0000  0.0000  0.0000  3 Pu 3.58, 6 Pr 3.60, 3 Th 3.66
Pr  0.0000  0.0000  0.1688  6 Pr 3.60, 3 Pu 3.60, 3 Th 3.65
Pr  0.3333  0.6667  0.6667  3 Pu 3.58, 6 Pr 3.60, 3 Th 3.66
Pr  0.3333  0.6667  0.8355  6 Pr 3.60, 3 Pu 3.60, 3 Th 3.65
Pr  0.6667  0.3333  0.3333  3 Pu 3.58, 6 Pr 3.60, 3 Th 3.66
Pr  0.6667  0.3333  0.5022  6 Pr 3.60, 3 Pu 3.60, 3 Th 3.65
Pu  0.0000  0.0000  0.5849  6 Pr 3.58-3.60, 6 Pu 3.60
Pu  0.3333  0.6667  0.2515  6 Pr 3.58-3.60, 6 Pu 3.60
Pu  0.6667  0.3333  0.9182  6 Pr 3.58-3.60, 6 Pu 3.60
Th  0.0000  0.0000  0.4179  6 Th 3.60, 6 Pr 3.65-3.66
Th  0.3333  0.6667  0.0845  6 Th 3.60, 6 Pr 3.65-3.66
Th  0.6667  0.3333  0.7512  6 Th 3.60, 6 Pr 3.65-3.66

Properties
Energy relative to the lowest polymorph listed for this composition (eV/atom): 0.0037
Energy relative to the elements (eV/f.u.): 0.67

Computed, not measured: an optimized crystal structure of Cd2SbBr at the GGA-PBE level of DFT.

Cell: 3.2871 5.9595 5.7120 Å, 90.00 99.67 90.00°
With the nearest neighbours (Å) after each atom.
Atoms (fractional coordinates):
Cd  0.2274  0.0000  0.2620  5 Cd 2.99-3.32
Cd  0.7726  0.0000  0.7380  5 Cd 2.99-3.32
Sb  0.0000  0.5000  0.0000  2 Br 2.86
Br  0.0000  0.5000  0.5000  2 Sb 2.86

Properties
Energy relative to the lowest polymorph listed for this composition (eV/atom): 0.3369
Formation energy without anion corrections (eV/atom): 0.011

Number 1: Fermi-level density of states 1.7 states/eV/f.u., magnetic moment 0.000 Bohr magnetons per cell. Number 2: Fermi-level density of states 5.2 states/eV/f.u., magnetic moment 7.912 Bohr magnetons per cell. Number 3: Fermi-level density of states 8.3 states/eV/f.u., magnetic moment 0.655 Bohr magnetons per cell. Number 4: Fermi-level density of states 6.0 states/eV/f.u., magnetic moment 0.000 Bohr magnetons per cell. Number 5: Fermi-level density of states 12.1 states/eV/f.u., magnetic moment 18.640 Bohr magnetons per cell. Number 6: Fermi-level density of states 1.7 states/eV/f.u., magnetic moment 0.000 Bohr magnetons per cell.